Below is crystalline CsPmRhO4 at its relaxed geometry, with properties calculated at the PBE level.

ΔE_f (raw) ... -1.669 eV per atom
Symmetry ... No. 11

abc: 6.022 5.665 9.886
angles: 90.00 123.57 90.00
Atoms (fractional coordinates):
Pm: 0.229 0.250 0.524
O: 0.439 0.750 0.539
O: 0.096 0.480 0.670
Rh: 0.865 0.250 0.684
O: 0.096 0.020 0.670
Rh: 0.135 0.750 0.316
Cs: 0.392 0.250 0.118
Cs: 0.608 0.750 0.882
O: 0.904 0.980 0.330
O: 0.561 0.250 0.461
O: 0.324 0.750 0.218
O: 0.904 0.520 0.330
Pm: 0.771 0.750 0.476
O: 0.676 0.250 0.782